[1]
{
  "formula": "ZrTa6S8",
  "functional": "PBE-GGA",
  "state": "optimized geometry",
  "cell": [[-5.3495, 2.1831, -3.0614], [0.8285, -4.2914, -4.8634], [-3.7440, -4.4178, 3.0366]],
  "species": ["Zr", "Ta", "Ta", "Ta", "Ta", "Ta", "Ta", "S", "S", "S", "S", "S", "S", "S", "S"],
  "frac_coords": [[0.0000, 0.0000, 0.0000], [0.5904, 0.4462, 0.7998], [0.4462, 0.7998, 0.5904], [0.7998, 0.5904, 0.4462], [0.4096, 0.5538, 0.2002], [0.5538, 0.2002, 0.4096], [0.2002, 0.4096, 0.5538], [0.7763, 0.7763, 0.7763], [0.2237, 0.2237, 0.2237], [0.6166, 0.8669, 0.2376], [0.8669, 0.2376, 0.6166], [0.2376, 0.6166, 0.8669], [0.3834, 0.1331, 0.7624], [0.1331, 0.7624, 0.3834], [0.7624, 0.3834, 0.1331]],
  "dos_ef_per_ev_cell": 8.50,
  "magmom_total_mub_per_fu": 0.0,
  "crystal_system": "trigonal",
  "raw_formation_energy_ev_per_atom": -0.793
}


[2]
{
  "formula": "Pr3Y4Th",
  "functional": "PBE-GGA",
  "state": "optimized geometry",
  "cell": [[3.4265, 0.0000, 0.0000], [0.0000, 8.9310, 1.3152], [0.0000, -2.3688, 8.7110]],
  "species": ["Pr", "Pr", "Pr", "Y", "Y", "Y", "Y", "Th"],
  "frac_coords": [[0.0000, 0.0000, 0.5000], [0.5000, 0.5000, 0.5000], [0.0000, 0.5000, 0.0000], [0.0000, 0.7594, 0.7594], [0.5000, 0.2474, 0.7526], [0.0000, 0.2406, 0.2406], [0.5000, 0.7526, 0.2474], [0.5000, 0.0000, 0.0000]],
  "dos_ef_per_ev_cell": 17.85,
  "delta_e_f_mev_per_atom": 404,
  "e_above_lowest_polymorph_ev_per_atom": 0.261,
  "magmom_total_mub_per_fu": 0.0,
  "crystal_system": "orthorhombic"
}


[3]
{
  "formula": "PrSnHg",
  "functional": "PBE-GGA",
  "state": "optimized geometry",
  "cell": [[-3.5458, 1.5045, -3.2455], [-4.6982, -1.7699, 0.4041], [-3.7094, 3.0339, 1.5507]],
  "species": ["Pr", "Hg", "Sn"],
  "frac_coords": [[0.5000, 0.5000, 0.5000], [0.2500, 0.2500, 0.2500], [0.0000, 0.0000, 0.0000]],
  "dos_ef_per_ev_cell": 1.95,
  "delta_e_f_mev_per_atom": -418,
  "magmom_total_mub_per_fu": 0.0,
  "crystal_system": "cubic"
}


[4]
{
  "formula": "Ce3FeGe",
  "functional": "PBE-GGA",
  "state": "optimized geometry",
  "cell": [[4.9998, 0.0000, 0.0000], [0.0000, 4.9998, 0.0000], [0.0000, 0.0000, 4.9998]],
  "species": ["Ge", "Fe", "Ce", "Ce", "Ce"],
  "frac_coords": [[0.5000, 0.5000, 0.5000], [0.0000, 0.0000, 0.0000], [0.0000, 0.5000, 0.0000], [0.0000, 0.0000, 0.5000], [0.5000, 0.0000, 0.0000]],
  "dos_ef_per_ev_cell": 13.50,
  "delta_e_f_mev_per_atom": -243,
  "e_above_lowest_polymorph_ev_per_atom": 0.091,
  "magmom_total_mub_per_fu": 1.9,
  "crystal_system": "cubic"
}


[5]
{
  "formula": "CrBiH3",
  "functional": "PBE-GGA",
  "state": "optimized geometry",
  "cell": [[-3.8783, -0.6118, -1.6419], [1.2933, -3.6901, -1.6799], [-1.1822, -2.0298, 3.5488]],
  "species": ["Cr", "Bi", "H", "H", "H"],
  "frac_coords": [[0.5000, 0.5000, 0.5000], [0.0000, 0.0000, 0.0000], [0.0000, 0.5000, 0.0000], [0.0000, 0.0000, 0.5000], [0.5000, 0.0000, 0.0000]],
  "dos_ef_per_ev_cell": 1.55,
  "e_above_lowest_polymorph_ev_per_atom": 0.627,
  "magmom_total_mub_per_fu": 5.3,
  "crystal_system": "cubic"
}


[6]
{
  "formula": "InPb2Au",
  "functional": "PBE-GGA",
  "state": "optimized geometry",
  "cell": [[4.5237, 0.0000, 0.0000], [0.0000, 4.8428, 0.0000], [0.0000, 0.0000, 4.8428]],
  "species": ["Au", "In", "Pb", "Pb"],
  "frac_coords": [[0.5000, 0.5000, 0.0000], [0.5000, 0.0000, 0.5000], [0.0000, 0.0000, 0.0000], [0.0000, 0.5000, 0.5000]],
  "dos_ef_per_ev_cell": 1.68,
  "delta_e_f_mev_per_atom": 26,
  "magmom_total_mub_per_fu": 0.0,
  "crystal_system": "tetragonal"
}